1.
First-principles (PBE) data for RbNpZn2F8 after structural relaxation, as listed in the Alexandria database.

Summary:
Magnetization in μB per formula unit: 3.98
Calculated density in g cm⁻³: 4.7
N(E_F) in states/eV per atom: 0.19
VASP energy in eV per atom: -5.31
Raw formation energy in eV per formula unit: -32.2

Cell and atoms, written as POSCAR:
```
RbNpZn2F8
1.0
2.781 1.605 7.933
-2.781 1.605 7.933
0.000 -3.211 7.933
Rb Np Zn F
1 1 2 8
direct
0.000 0.000 0.000
0.500 0.500 0.500
0.258 0.258 0.258
0.742 0.742 0.742
0.098 0.774 0.458
0.226 0.542 0.902
0.336 0.336 0.336
0.458 0.098 0.774
0.542 0.902 0.226
0.664 0.664 0.664
0.774 0.458 0.098
0.902 0.226 0.542
```

=====

2.
First-principles (PBE) data for Np3S3F2 after structural relaxation, as listed in the Alexandria database.

Summary:
Magnetization in μB per formula unit: 4.50
Calculated density in g cm⁻³: 9.4
N(E_F) in states/eV per atom: 2.41
VASP energy in eV per atom: -8.75
Raw formation energy in eV per formula unit: -15.1

Cell and atoms, written as POSCAR:
```
Np3S3F2
1.0
-1.796 2.011 10.370
1.796 -2.011 10.370
1.796 2.011 -10.370
Np S F
3 3 2
direct
0.000 0.000 0.000
0.332 0.832 0.500
0.668 0.168 0.500
0.121 0.621 0.500
0.500 0.500 0.000
0.879 0.379 0.500
0.247 0.247 0.000
0.753 0.753 0.000
```

=====

3.
First-principles (PBE) data for NpSF after structural relaxation, as listed in the Alexandria database.

Summary:
Magnetization in μB per formula unit: 4.00
Calculated density in g cm⁻³: 8.9
N(E_F) in states/eV per atom: 2.36
VASP energy in eV per atom: -8.57
Raw formation energy in eV per formula unit: -6.8

Cell and atoms, written as POSCAR:
```
NpSF
1.0
4.060 0.000 0.000
-2.030 3.516 0.000
0.000 0.000 3.767
Np S F
1 1 1
direct
0.000 0.000 0.000
0.333 0.667 0.500
0.667 0.333 0.000
```

=====

4.
First-principles (PBE) data for NpSF after structural relaxation, as listed in the Alexandria database.

Summary:
Magnetization in μB per formula unit: 4.00
Calculated density in g cm⁻³: 7.8
N(E_F) in states/eV per atom: 1.68
VASP energy in eV per atom: -8.45
Raw formation energy in eV per formula unit: -6.4

Cell and atoms, written as POSCAR:
```
NpSF
1.0
0.000 3.132 3.132
3.132 0.000 3.132
3.132 3.132 0.000
Np S F
1 1 1
direct
0.000 0.000 0.000
0.250 0.250 0.250
0.750 0.750 0.750
```

=====

5.
First-principles (PBE) data for NpS2F4 after structural relaxation, as listed in the Alexandria database.

Summary:
Magnetization in μB per formula unit: 3.05
Calculated density in g cm⁻³: 4.6
N(E_F) in states/eV per atom: 1.18
VASP energy in eV per atom: -6.43
Raw formation energy in eV per formula unit: -16.3

Cell and atoms, written as POSCAR:
```
NpS2F4
1.0
3.799 0.000 0.000
0.002 3.898 0.000
1.613 1.314 9.215
Np S F
1 2 4
direct
0.000 0.000 0.000
0.198 0.108 0.532
0.802 0.892 0.468
0.057 0.545 0.868
0.442 0.953 0.136
0.558 0.047 0.864
0.943 0.455 0.132
```

=====

6.
First-principles (PBE) data for Np3SF7 after structural relaxation, as listed in the Alexandria database.

Summary:
Magnetization in μB per formula unit: 12.00
Calculated density in g cm⁻³: 6.4
N(E_F) in states/eV per atom: 2.64
VASP energy in eV per atom: -8.10
Raw formation energy in eV per formula unit: -33.1

Cell and atoms, written as POSCAR:
```
Np3SF7
1.0
3.578 -6.928 0.000
3.578 6.928 0.000
0.000 0.000 4.581
Np S F
3 1 7
direct
0.000 0.000 0.000
0.312 0.688 0.000
0.688 0.312 0.000
0.500 0.500 0.000
0.000 0.000 0.500
0.019 0.331 0.000
0.293 0.707 0.500
0.331 0.019 0.000
0.669 0.981 0.000
0.707 0.293 0.500
0.981 0.669 0.000
```

=====

7.
First-principles (PBE) data for NpSF after structural relaxation, as listed in the Alexandria database.

Summary:
Magnetization in μB per formula unit: 3.98
Calculated density in g cm⁻³: 9.3
N(E_F) in states/eV per atom: 1.75
VASP energy in eV per atom: -8.24
Raw formation energy in eV per formula unit: -5.8

Cell and atoms, written as POSCAR:
```
NpSF
1.0
-1.719 1.719 4.361
1.719 -1.719 4.361
1.719 1.719 -4.361
Np S F
1 1 1
direct
0.000 0.000 0.000
0.333 0.333 0.000
0.632 0.632 0.000
```

=====

8.
First-principles (PBE) data for NpSF after structural relaxation, as listed in the Alexandria database.

Summary:
Magnetization in μB per formula unit: 4.00
Calculated density in g cm⁻³: 9.3
N(E_F) in states/eV per atom: 2.40
VASP energy in eV per atom: -8.50
Raw formation energy in eV per formula unit: -6.5

Cell and atoms, written as POSCAR:
```
NpSF
1.0
1.909 -5.025 0.000
1.909 5.025 0.000
0.000 0.000 5.383
Np S F
2 2 2
direct
0.111 0.889 0.750
0.889 0.111 0.250
0.192 0.808 0.250
0.808 0.192 0.750
0.500 0.500 0.000
0.500 0.500 0.500
```

=====

9.
First-principles (PBE) data for NpS6F2 after structural relaxation, as listed in the Alexandria database.

Summary:
Magnetization in μB per formula unit: 3.08
Calculated density in g cm⁻³: 3.8
N(E_F) in states/eV per atom: 0.77
VASP energy in eV per atom: -5.58
Raw formation energy in eV per formula unit: -8.8

Cell and atoms, written as POSCAR:
```
NpS6F2
1.0
3.983 0.000 0.000
-0.060 6.438 0.000
-1.215 -1.482 7.925
Np S F
1 6 2
direct
0.000 0.000 0.000
0.102 0.456 0.810
0.104 0.312 0.301
0.104 0.828 0.304
0.896 0.172 0.696
0.896 0.688 0.699
0.898 0.544 0.190
0.498 0.812 0.002
0.502 0.188 0.998
```

=====

10.
First-principles (PBE) data for Np3S3F4 after structural relaxation, as listed in the Alexandria database.

Summary:
Magnetization in μB per formula unit: 11.00
Calculated density in g cm⁻³: 8.0
N(E_F) in states/eV per atom: 2.47
VASP energy in eV per atom: -8.28
Raw formation energy in eV per formula unit: -24.1

Cell and atoms, written as POSCAR:
```
Np3S3F4
1.0
-4.517 4.517 4.517
4.517 -4.517 4.517
4.517 4.517 -4.517
Np S F
6 6 8
direct
0.125 0.750 0.875
0.250 0.625 0.375
0.375 0.250 0.625
0.625 0.375 0.250
0.750 0.875 0.125
0.875 0.125 0.750
0.125 0.875 0.250
0.250 0.125 0.875
0.375 0.625 0.750
0.625 0.750 0.375
0.750 0.375 0.625
0.875 0.250 0.125
0.000 0.144 0.500
0.000 0.644 0.500
0.144 0.500 0.000
0.356 0.356 0.356
0.500 0.000 0.144
0.500 0.000 0.644
0.644 0.500 0.000
0.856 0.856 0.856
```

=====

11.
First-principles (PBE) data for Np2SF4 after structural relaxation, as listed in the Alexandria database.

Summary:
Magnetization in μB per formula unit: 8.00
Calculated density in g cm⁻³: 9.1
N(E_F) in states/eV per atom: 2.09
VASP energy in eV per atom: -8.30
Raw formation energy in eV per formula unit: -20.6

Cell and atoms, written as POSCAR:
```
Np2SF4
1.0
7.366 0.000 0.000
0.000 7.366 0.000
0.000 0.000 3.922
Np S F
4 2 8
direct
0.216 0.216 0.000
0.284 0.716 0.500
0.716 0.284 0.500
0.784 0.784 0.000
0.000 0.000 0.500
0.500 0.500 0.000
0.091 0.664 0.000
0.164 0.409 0.500
0.336 0.909 0.000
0.409 0.164 0.500
0.591 0.836 0.500
0.664 0.091 0.000
0.836 0.591 0.500
0.909 0.336 0.000
```

=====

12.
First-principles (PBE) data for SrNpS2F after structural relaxation, as listed in the Alexandria database.

Summary:
Magnetization in μB per formula unit: 3.90
Calculated density in g cm⁻³: 6.2
N(E_F) in states/eV per atom: 1.49
VASP energy in eV per atom: -7.22
Raw formation energy in eV per formula unit: -11.4

Cell and atoms, written as POSCAR:
```
SrNpS2F
1.0
3.971 0.000 0.000
0.000 3.971 0.000
0.000 0.000 13.887
Sr Np S F
2 2 4 2
direct
0.250 0.250 0.107
0.750 0.750 0.893
0.250 0.250 0.611
0.750 0.750 0.389
0.250 0.250 0.408
0.250 0.250 0.794
0.750 0.750 0.206
0.750 0.750 0.592
0.250 0.750 0.000
0.750 0.250 0.000
```

=====

13.
First-principles (PBE) data for NpTlS2F after structural relaxation, as listed in the Alexandria database.

Summary:
Magnetization in μB per formula unit: 3.00
Calculated density in g cm⁻³: 6.4
N(E_F) in states/eV per atom: 1.53
VASP energy in eV per atom: -6.67
Raw formation energy in eV per formula unit: -7.9

Cell and atoms, written as POSCAR:
```
NpTlS2F
1.0
8.051 0.000 0.000
0.000 3.989 0.000
-2.352 0.000 8.411
Np Tl S F
2 2 4 2
direct
0.180 0.250 0.172
0.820 0.750 0.828
0.254 0.250 0.680
0.746 0.750 0.320
0.153 0.750 0.366
0.168 0.750 0.957
0.832 0.250 0.043
0.847 0.250 0.634
0.451 0.250 0.241
0.549 0.750 0.759
```

=====

14.
First-principles (PBE) data for NpTl2S3F3 after structural relaxation, as listed in the Alexandria database.

Summary:
Magnetization in μB per formula unit: 3.08
Calculated density in g cm⁻³: 8.1
N(E_F) in states/eV per atom: 0.90
VASP energy in eV per atom: -5.45
Raw formation energy in eV per formula unit: -13.4

Cell and atoms, written as POSCAR:
```
NpTl2S3F3
1.0
7.172 0.000 0.000
-3.586 6.211 0.000
0.000 0.000 3.693
Np Tl S F
1 2 3 3
direct
0.000 0.000 0.000
0.333 0.667 0.500
0.667 0.333 0.500
0.000 0.594 0.000
0.406 0.406 0.000
0.594 0.000 0.000
0.000 0.204 0.500
0.204 0.000 0.500
0.796 0.796 0.500
```

=====

15.
First-principles (PBE) data for NpTl2S2F2 after structural relaxation, as listed in the Alexandria database.

Summary:
Magnetization in μB per formula unit: 3.00
Calculated density in g cm⁻³: 6.2
N(E_F) in states/eV per atom: 1.14
VASP energy in eV per atom: -5.89
Raw formation energy in eV per formula unit: -11.6

Cell and atoms, written as POSCAR:
```
NpTl2S2F2
1.0
-2.686 2.686 6.920
2.686 -2.686 6.920
2.686 2.686 -6.920
Np Tl S F
1 2 2 2
direct
0.000 0.000 0.000
0.364 0.364 0.000
0.636 0.636 0.000
0.000 0.500 0.500
0.500 0.000 0.500
0.154 0.154 0.000
0.846 0.846 0.000
```

=====

16.
First-principles (PBE) data for Np2ScF11 after structural relaxation, as listed in the Alexandria database.

Summary:
Magnetization in μB per formula unit: 6.00
Calculated density in g cm⁻³: 5.4
N(E_F) in states/eV per atom: 0.92
VASP energy in eV per atom: -7.31
Raw formation energy in eV per formula unit: -49.6

Cell and atoms, written as POSCAR:
```
Np2ScF11
1.0
-4.186 5.057 5.293
4.186 -5.057 5.293
4.186 5.057 -5.293
Np Sc F
4 2 22
direct
0.183 0.156 0.339
0.317 0.656 0.973
0.683 0.344 0.027
0.817 0.844 0.661
0.250 0.750 0.500
0.750 0.250 0.500
0.000 0.000 0.000
0.024 0.443 0.755
0.072 0.849 0.639
0.188 0.943 0.419
0.210 0.433 0.361
0.210 0.874 0.084
0.290 0.374 0.664
0.290 0.651 0.223
0.312 0.731 0.755
0.428 0.067 0.777
0.476 0.231 0.419
0.500 0.500 0.000
0.524 0.769 0.581
0.572 0.933 0.223
0.688 0.269 0.245
0.710 0.349 0.777
0.710 0.626 0.336
0.790 0.126 0.916
0.790 0.567 0.639
0.812 0.057 0.581
0.928 0.151 0.361
0.976 0.557 0.245
```

=====

17.
First-principles (PBE) data for Np2Se3F after structural relaxation, as listed in the Alexandria database.

Summary:
Magnetization in μB per formula unit: 7.00
Calculated density in g cm⁻³: 8.3
N(E_F) in states/eV per atom: 3.52
VASP energy in eV per atom: -7.96
Raw formation energy in eV per formula unit: -9.5

Cell and atoms, written as POSCAR:
```
Np2Se3F
1.0
3.867 2.233 5.639
-3.867 2.233 5.639
0.000 -4.466 5.639
Np Se F
4 6 2
direct
0.134 0.134 0.134
0.366 0.366 0.366
0.634 0.634 0.634
0.866 0.866 0.866
0.029 0.750 0.471
0.250 0.529 0.971
0.471 0.029 0.750
0.529 0.971 0.250
0.750 0.471 0.029
0.971 0.250 0.529
0.000 0.000 0.000
0.500 0.500 0.500
```

=====

18.
First-principles (PBE) data for Np3Se3F4 after structural relaxation, as listed in the Alexandria database.

Summary:
Magnetization in μB per formula unit: 11.00
Calculated density in g cm⁻³: 8.4
N(E_F) in states/eV per atom: 2.70
VASP energy in eV per atom: -7.91
Raw formation energy in eV per formula unit: -22.3

Cell and atoms, written as POSCAR:
```
Np3Se3F4
1.0
-4.665 4.665 4.665
4.665 -4.665 4.665
4.665 4.665 -4.665
Np Se F
6 6 8
direct
0.125 0.875 0.250
0.250 0.125 0.875
0.375 0.625 0.750
0.625 0.750 0.375
0.750 0.375 0.625
0.875 0.250 0.125
0.125 0.750 0.875
0.250 0.625 0.375
0.375 0.250 0.625
0.625 0.375 0.250
0.750 0.875 0.125
0.875 0.125 0.750
0.000 0.363 0.500
0.000 0.863 0.500
0.137 0.137 0.137
0.363 0.500 0.000
0.500 0.000 0.363
0.500 0.000 0.863
0.637 0.637 0.637
0.863 0.500 0.000
```

=====

19.
First-principles (PBE) data for SrNpSe2F after structural relaxation, as listed in the Alexandria database.

Summary:
Magnetization in μB per formula unit: 3.95
Calculated density in g cm⁻³: 6.8
N(E_F) in states/eV per atom: 1.66
VASP energy in eV per atom: -6.83
Raw formation energy in eV per formula unit: -10.7

Cell and atoms, written as POSCAR:
```
SrNpSe2F
1.0
4.126 0.000 0.000
0.000 4.126 0.000
0.000 0.000 14.387
Sr Np Se F
2 2 4 2
direct
0.250 0.250 0.100
0.750 0.750 0.900
0.250 0.250 0.612
0.750 0.750 0.388
0.250 0.250 0.405
0.250 0.250 0.799
0.750 0.750 0.201
0.750 0.750 0.595
0.250 0.750 0.000
0.750 0.250 0.000
```

=====

20.
First-principles (PBE) data for NpTlSe2F after structural relaxation, as listed in the Alexandria database.

Summary:
Magnetization in μB per formula unit: 3.00
Calculated density in g cm⁻³: 6.9
N(E_F) in states/eV per atom: 1.54
VASP energy in eV per atom: -6.31
Raw formation energy in eV per formula unit: -7.4

Cell and atoms, written as POSCAR:
```
NpTlSe2F
1.0
8.178 0.000 0.000
0.000 4.146 0.000
-2.517 0.000 8.724
Np Tl Se F
2 2 4 2
direct
0.184 0.250 0.174
0.816 0.750 0.826
0.255 0.250 0.681
0.745 0.750 0.319
0.156 0.750 0.374
0.178 0.750 0.955
0.822 0.250 0.045
0.844 0.250 0.626
0.450 0.250 0.244
0.550 0.750 0.756
```